This record from Alexandria describes crystalline La6Tl3In at its relaxed geometry. The functional is PBE-GGA.

abc: 10.0315 5.4932 12.1230
angles: 90.00 105.20 90.00
Fractional coordinates of all 20 atoms:
La: 0.0360 0.2500 0.4101
La: 0.1564 0.7500 0.1801
La: 0.2593 0.2500 0.9982
La: 0.3425 0.7500 0.8134
La: 0.3841 0.2500 0.3493
La: 0.4055 0.2500 0.6142
La: 0.5945 0.7500 0.3858
La: 0.6159 0.7500 0.6507
La: 0.6575 0.2500 0.1866
La: 0.7407 0.7500 0.0018
La: 0.8436 0.2500 0.8199
La: 0.9640 0.7500 0.5899
Tl: 0.0318 0.7500 0.8866
Tl: 0.1239 0.2500 0.7141
Tl: 0.2694 0.7500 0.4727
Tl: 0.7306 0.2500 0.5273
Tl: 0.8761 0.7500 0.2859
Tl: 0.9682 0.2500 0.1134
In: 0.4530 0.7500 0.1107
In: 0.5470 0.2500 0.8893

Results
energy relative to the elements	-3.594	eV per formula unit